Record 1
Compound: CsRbH3
Source: the Alexandria database
Functional: SCAN
Structure: single point on PBEsol structure

abc: 5.071 5.071 5.071
angles: 90.00 90.00 90.00
Fractional positions:
Cs 0.000 0.000 0.000
Rb 0.500 0.500 0.500
H 0.000 0.500 0.500
H 0.500 0.000 0.500
H 0.500 0.500 0.000

* D(E_F): 0.71 states/eV per atom
* magnetic moment: 1.00 μB/cell
* uncorrected energy: -67.32 eV for the cell shown
* calculated volume: 130.4 Å³/cell

***

Record 2
Compound: CsRb2TeH
Source: the Alexandria database
Functional: SCAN
Structure: single point on PBEsol structure

abc: 5.573 5.573 5.726
angles: 90.00 90.00 90.00
Fractional positions:
Cs 0.000 0.000 0.000
Rb 0.000 0.500 0.500
Rb 0.500 0.000 0.500
Te 0.500 0.500 0.000
H 0.000 0.000 0.500

* D(E_F): 0.00 states/eV per atom
* magnetic moment: 0.00 μB/cell
* uncorrected energy: -124.03 eV for the cell shown
* calculated volume: 177.8 Å³/cell

***

Record 3
Compound: CsRe3H
Source: the Alexandria database
Functional: SCAN
Structure: single point on PBEsol structure

abc: 4.881 4.881 4.881
angles: 90.00 90.00 90.00
Fractional positions:
Cs 0.000 0.000 0.000
Re 0.000 0.000 0.500
Re 0.000 0.500 0.000
Re 0.500 0.000 0.000
H 0.500 0.500 0.500

* D(E_F): 1.02 states/eV per atom
* magnetic moment: 5.03 μB/cell
* uncorrected energy: -229.62 eV for the cell shown
* calculated volume: 116.3 Å³/cell

***

Record 4
Compound: CsH2Rh
Source: the Alexandria database
Functional: SCAN
Structure: single point on PBEsol structure

abc: 4.354 4.354 4.354
angles: 60.00 60.00 60.00
Fractional positions:
Cs 0.000 0.000 0.000
H 0.250 0.250 0.250
H 0.750 0.750 0.750
Rh 0.500 0.500 0.500

* D(E_F): 0.31 states/eV per atom
* magnetic moment: 0.00 μB/cell
* uncorrected energy: -73.31 eV for the cell shown
* calculated volume: 58.4 Å³/cell

***

Record 5
Compound: Cs2HRu2
Source: the Alexandria database
Functional: SCAN
Structure: single point on PBEsol structure

abc: 5.452 5.452 5.452
angles: 110.75 110.75 106.94
Fractional positions:
Cs 0.250 0.750 0.500
Cs 0.750 0.250 0.500
H 0.000 0.000 0.000
Ru 0.331 0.331 0.000
Ru 0.669 0.669 0.000

* D(E_F): 0.98 states/eV per atom
* magnetic moment: 0.00 μB/cell
* uncorrected energy: -141.67 eV for the cell shown
* calculated volume: 124.6 Å³/cell

***

Record 6
Compound: Cs3HS
Source: the Alexandria database
Functional: SCAN
Structure: single point on PBEsol structure

abc: 5.499 5.499 5.499
angles: 90.00 90.00 90.00
Fractional positions:
Cs 0.000 0.000 0.500
Cs 0.000 0.500 0.000
Cs 0.500 0.000 0.000
H 0.000 0.000 0.000
S 0.500 0.500 0.500

* D(E_F): 0.00 states/eV per atom
* magnetic moment: 0.00 μB/cell
* uncorrected energy: -130.18 eV for the cell shown
* calculated volume: 166.3 Å³/cell

***

Record 7
Compound: Cs3HSe
Source: the Alexandria database
Functional: SCAN
Structure: single point on PBEsol structure

abc: 5.590 5.590 5.590
angles: 90.00 90.00 90.00
Fractional positions:
Cs 0.000 0.000 0.500
Cs 0.000 0.500 0.000
Cs 0.500 0.000 0.000
H 0.000 0.000 0.000
Se 0.500 0.500 0.500

* D(E_F): 0.00 states/eV per atom
* magnetic moment: 0.00 μB/cell
* uncorrected energy: -141.00 eV for the cell shown
* calculated volume: 174.7 Å³/cell

***

Record 8
Compound: CsHSe2
Source: the Alexandria database
Functional: SCAN
Structure: single point on PBEsol structure

abc: 5.431 5.431 5.431
angles: 60.00 60.00 60.00
Fractional positions:
Cs 0.000 0.000 0.000
H 0.500 0.500 0.500
Se 0.250 0.250 0.250
Se 0.750 0.750 0.750

* D(E_F): 0.61 states/eV per atom
* magnetic moment: 2.00 μB/cell
* uncorrected energy: -78.55 eV for the cell shown
* calculated volume: 113.3 Å³/cell

***

Record 9
Compound: CsTa2TeH
Source: the Alexandria database
Functional: SCAN
Structure: single point on PBEsol structure

abc: 5.283 5.283 3.538
angles: 90.00 90.00 90.00
Fractional positions:
Cs 0.000 0.000 0.000
Ta 0.000 0.500 0.000
Ta 0.500 0.000 0.000
Te 0.500 0.500 0.500
H 0.000 0.000 0.500

* D(E_F): 0.95 states/eV per atom
* magnetic moment: 0.00 μB/cell
* uncorrected energy: -199.38 eV for the cell shown
* calculated volume: 98.7 Å³/cell

***

Record 10
Compound: Cs3TeH
Source: the Alexandria database
Functional: SCAN
Structure: single point on PBEsol structure

abc: 5.766 5.766 5.766
angles: 90.00 90.00 90.00
Fractional positions:
Cs 0.000 0.000 0.500
Cs 0.000 0.500 0.000
Cs 0.500 0.000 0.000
Te 0.500 0.500 0.500
H 0.000 0.000 0.000

* D(E_F): 0.00 states/eV per atom
* magnetic moment: 0.00 μB/cell
* uncorrected energy: -158.28 eV for the cell shown
* calculated volume: 191.7 Å³/cell

***

Record 11
Compound: CsTe2H
Source: the Alexandria database
Functional: SCAN
Structure: single point on PBEsol structure

abc: 10.016 10.016 10.016
angles: 21.44 21.44 21.44
Fractional positions:
Cs 0.000 0.000 0.000
Te 0.434 0.434 0.434
Te 0.566 0.566 0.566
H 0.500 0.500 0.500

* D(E_F): 0.52 states/eV per atom
* magnetic moment: 0.49 μB/cell
* calculated volume: 117.6 Å³/cell
* energy relative to the lowest polymorph listed for this composition: 0 meV/atom

***

Record 12
Compound: CsTe2H
Source: the Alexandria database
Functional: SCAN
Structure: single point on PBEsol structure

abc: 5.651 5.651 5.651
angles: 60.00 60.00 60.00
Fractional positions:
Cs 0.000 0.000 0.000
Te 0.250 0.250 0.250
Te 0.750 0.750 0.750
H 0.500 0.500 0.500

* D(E_F): 1.24 states/eV per atom
* magnetic moment: 3.25 μB/cell
* calculated volume: 127.6 Å³/cell
* energy relative to the lowest polymorph listed for this composition: 595 meV/atom